# PuCrB2O6 (GGA+U, optimized geometry)
data_PuCrB2O6
_cell_length_a 4.8572
_cell_length_b 4.8572
_cell_length_c 16.2393
_cell_angle_alpha 90.00
_cell_angle_beta 90.00
_cell_angle_gamma 120.00
_symmetry_space_group_name_H-M 'R -3'
_symmetry_Int_Tables_number 148
_symmetry_space_group_name_Hall '-R 3'
loop_
_atom_site_label
_atom_site_type_symbol
_atom_site_fract_x
_atom_site_fract_y
_atom_site_fract_z
_atom_site_occupancy
Pu1 Pu 0.0000 0.0000 0.0000 1
Cr1 Cr 0.0000 0.0000 0.5000 1
B1 B 0.0000 0.0000 0.2381 1
O1 O 0.0328 0.6333 0.9082 1
# - mass density (Mg/m³) = 6.21
# - DFT total energy (eV per atom) = -8.97